(1)
The following is a DFT calculation (PBE) of an optimized crystal structure of CeSm2S3.

The structure in extended XYZ format:
```
6
Lattice="4.0079 0.0000 0.0000 0.0000 5.6817 0.0000 -2.0040 -2.8409 6.0258" Properties=species:S:1:pos:R:3 pbc="T T T"
S 1.0020 -1.4204 3.0129
S 3.0059 1.4204 1.0022
S -1.0020 1.4204 5.0237
Ce 1.0020 1.4204 3.0129
Sm -1.0020 -1.4204 5.0370
Sm 3.0059 4.2613 0.9888
```

uncorrected formation energy	-2.04	eV/atom
symmetry	Immm (71)
VASP energy	-6.66	eV per atom
Fermi-level density of states	6.58	states/eV per cell


(2)
The following is a DFT calculation (PBE) of an optimized crystal structure of CeSm3S4.

The structure in extended XYZ format:
```
8
Lattice="5.1886 0.0045 -2.2999 -1.0241 5.0866 -2.2998 -0.0226 -0.0278 6.9512" Properties=species:S:1:pos:R:3 pbc="T T T"
S 1.5475 5.0610 3.5015
S 3.1106 3.8026 0.0226
S 4.6539 2.5200 3.5014
S 1.0313 1.2606 2.3290
Sm 0.5177 3.8021 1.1758
Sm 2.0822 2.5455 -2.2998
Sm 3.6241 1.2611 1.1757
Ce 0.0000 0.0000 0.0000
```

uncorrected formation energy	-2.03	eV/atom
symmetry	I4/mmm (139)
energy relative to the lowest polymorph listed for this composition	0.02	eV/f.u.
VASP energy	-6.61	eV per atom
Fermi-level density of states	7.35	states/eV per cell